# MoHO2

A relaxed structure of MoHO2 (GGA+U, the Alexandria database).

```
4
Lattice="-0.809 -3.440 0.741 -0.623 -1.014 3.409 -3.343 -0.885 1.038" Properties=species:S:1:pos:R:3 pbc="T T T"
Mo -2.388 -2.669 2.594
O -1.194 -1.335 1.297
O -3.582 -4.004 3.891
H 0.000 0.000 0.000
```

As for the total energy: -5.616 eV/atom. Its crystal system is cubic. As for the space group: Fm-3m, No. 225.